DFT (PBE) results for a relaxed SrY2Hf crystal.

The calculation puts the total moment at 11.27 μB/cell. Its formation energy is 455.9 meV per atom. The value obtained for the total energy is -0.4178 Ry per atom.

The structure belongs to space group Fm-3m (No. 225); the cell edges are 7.998, 7.998 and 7.998 Å and the angles 90.00°, 90.00° and 90.00°. Symmetry generates all atoms from Sr at (0.000, 0.000, 0.000), Y at (0.250, 0.250, 0.250) and Hf at (0.000, 0.000, 0.500).


DFT (PBE) results for a relaxed MnAsPSe2 crystal.

The formation energy (no corrections) is 1.140 eV per atom. The calculation puts the total moment at 0.08 μB/cell. The value obtained for the total energy is -0.3013 Ry per atom.

The structure belongs to space group P4/mmm (No. 123); the cell edges are 4.819, 4.819 and 4.627 Å and the angles 90.00°, 90.00° and 90.00°. Symmetry generates all atoms from Mn at (0.000, 0.000, 0.000), As at (0.500, 0.500, 0.000), P at (0.500, 0.500, 0.500) and Se at (0.000, 0.500, 0.500).


DFT (PBE) results for a relaxed Sr4HgI5 crystal.

The formation energy (no corrections) is -1.321 eV per atom. The calculation puts the total moment at 4.42 μB/cell. The value obtained for the total energy is -0.2057 Ry per atom.

The structure belongs to space group C2/m (No. 12); the cell edges are 20.915, 4.653 and 9.740 Å and the angles 90.00°, 104.61° and 90.00°. Symmetry generates all atoms from Sr at (0.002, 0.000, 0.242), Sr at (0.162, 0.500, 0.099), Hg at (0.000, 0.500, 0.000), I at (0.000, 0.500, 0.500), I at (0.167, 0.000, 0.340) and I at (0.170, 0.000, 0.852).


DFT (PBE) results for a relaxed AgPd8Au6 crystal.

The calculation puts the total moment at 0.00 μB/cell. Its formation energy is 122.3 meV per atom. The value obtained for the total energy is -0.3049 Ry per atom.

The structure belongs to space group R-3 (No. 148, hexagonal axes); the cell edges are 7.5365, 7.5365 and 16.4710 Å and the angles 90.00°, 90.00° and 120.00°. Symmetry generates all atoms from Ag at (0.0000, 0.0000, 0.0000), Pd at (0.0000, 0.0000, 0.2492), Pd at (0.9996, 0.3014, 0.8712) and Au at (0.0035, 0.7228, 0.6240).